No. 1
Compound: La2ZnSbPt6
Source: Alexandria via LeMat-Bulk
Functional: PBE
Structure: optimized geometry

Calculated volume, Å³/cell: 230
ρ, Mg/m³: 11.8
Electronic total energy, eV/atom: -5.912
Space-group type: C2/m, No. 12

a b c (Å): 5.6603 5.6603 8.9010
angles (deg): 108.63 108.63 60.02
Last column: nearest neighbours and their distance in Å.
Atoms (fractional coordinates):
La: 0.2047 0.2047 0.1132  9 Pt 3.03-3.39
La: 0.7953 0.7953 0.8868  9 Pt 3.03-3.39
Zn: 0.5000 0.5000 0.0000  6 Pt 2.58
Sb: 0.0000 0.0000 0.5000  6 Pt 2.69
Pt: 0.2530 0.7460 0.2436  1 Zn 2.58, 1 Sb 2.69, 4 Pt 2.79-2.87
Pt: 0.2543 0.2543 0.7571  1 Zn 2.58, 1 Sb 2.69, 4 Pt 2.79-2.87
Pt: 0.2540 0.7470 0.7564  1 Zn 2.58, 1 Sb 2.69, 4 Pt 2.79-2.87
Pt: 0.7460 0.2530 0.2436  1 Zn 2.58, 1 Sb 2.69, 4 Pt 2.79-2.87
Pt: 0.7457 0.7457 0.2429  1 Zn 2.58, 1 Sb 2.69, 4 Pt 2.79-2.87
Pt: 0.7470 0.2540 0.7564  1 Zn 2.58, 1 Sb 2.69, 4 Pt 2.79-2.87

=====

No. 2
Compound: La2ZrSb3Pt4
Source: Alexandria via LeMat-Bulk
Functional: PBE
Structure: optimized geometry

Calculated volume, Å³/cell: 231
ρ, Mg/m³: 10.9
Electronic total energy, eV/atom: -6.447
Space-group type: P-4m2, No. 115

a b c (Å): 4.5543 4.5543 11.1387
angles (deg): 90.00 90.00 90.00
Last column: nearest neighbours and their distance in Å.
Atoms (fractional coordinates):
La: 0.0000 0.5000 0.2281  6 Sb 3.40-3.79, 8 Pt 3.41-3.57, 2 Zr 3.79
La: 0.5000 0.0000 0.7719  6 Sb 3.40-3.79, 8 Pt 3.41-3.57, 2 Zr 3.79
Zr: 0.0000 0.0000 0.5000  4 Pt 2.72
Sb: 0.0000 0.5000 0.8684  5 Pt 2.62-2.71
Sb: 0.5000 0.0000 0.1316  5 Pt 2.62-2.71
Sb: 0.5000 0.5000 0.5000  4 Pt 2.72
Pt: 0.0000 0.0000 0.0000  4 Sb 2.71
Pt: 0.0000 0.5000 0.6333  3 Sb 2.62-2.72, 2 Zr 2.72
Pt: 0.5000 0.0000 0.3667  3 Sb 2.62-2.72, 2 Zr 2.72
Pt: 0.5000 0.5000 0.0000  4 Sb 2.71

=====

Energy relative to the elements, uncorrected? In order: -0.7619 -0.9536 eV/atom.
Total moment? In order: 0.0 0.0 Bohr magnetons per cell.
D(E_F)? In order: 4.3 5.4 states/eV/cell.